(1)
An optimized crystal structure of TbZn2. Source: OQMD via LeMat-Bulk, functional PBE.

Computed properties:
Space-group type = No. 59
Calculated formation energy = -0.102 eV/atom

a = 4.734 Å, b = 10.207 Å, c = 5.017 Å
α = 90.00°, β = 90.00°, γ = 90.00°
Fractional positions:
Tb: 0.250 0.083 0.138
Tb: 0.250 0.417 0.138
Tb: 0.750 0.583 0.862
Tb: 0.750 0.917 0.862
Zn: 0.250 0.250 0.643
Zn: 0.250 0.622 0.547
Zn: 0.250 0.750 0.063
Zn: 0.250 0.878 0.547
Zn: 0.750 0.122 0.453
Zn: 0.750 0.250 0.937
Zn: 0.750 0.378 0.453
Zn: 0.750 0.750 0.357



(2)
An optimized crystal structure of BaGaGeIr2. Source: OQMD via LeMat-Bulk, functional PBE.

Computed properties:
Space-group type = No. 107

a = 6.497 Å, b = 6.497 Å, c = 6.497 Å
α = 141.49°, β = 141.49°, γ = 55.60°
Fractional positions:
Ba: 0.000 0.000 0.000
Ga: 0.642 0.642 0.000
Ge: 0.359 0.359 0.000
Ir: 0.253 0.753 0.500
Ir: 0.753 0.253 0.500



Number 1: final energy -29.86 eV/cell. Number 2: final energy -30.05 eV/cell.